Sm2DyBe after structural relaxation, computed with PBE.

Properties
symmetry: R-3m (166)
magnetization: 0.0 μB/cell
ΔE_f: 0.6836 eV/atom

Lattice parameters (Å, degrees): 3.4614 3.4614 34.6882 90.00 90.00 120.00
Last column: nearest neighbours and their distance in Å.
Positions (direct):
Sm  0.0000  0.0000  0.0844  1 Be 2.93
Sm  0.0000  0.0000  0.9156  1 Be 2.93
Sm  0.3333  0.6667  0.5823  1 Be 2.93
Sm  0.3333  0.6667  0.7510  1 Be 2.93
Sm  0.6667  0.3333  0.2490  1 Be 2.93
Sm  0.6667  0.3333  0.4177  1 Be 2.93
Dy  0.0000  0.0000  0.5000  6 Dy 3.46, 6 Sm 3.48
Dy  0.3333  0.6667  0.1667  6 Dy 3.46, 6 Sm 3.48
Dy  0.6667  0.3333  0.8333  6 Dy 3.46, 6 Sm 3.48
Be  0.0000  0.0000  0.0000  2 Sm 2.93
Be  0.3333  0.6667  0.6667  2 Sm 2.93
Be  0.6667  0.3333  0.3333  2 Sm 2.93